(1)
Entry from the Alexandria database: an optimized crystal structure of DyVS (PBE).

Properties
- E (eV per atom) = -6.8946
- SG = Cmcm
- formation energy from raw total energies (eV per atom) = -0.945
- volume (Å³ per atom) = 19.39

extended XYZ file:
```
6
Lattice="-1.4361 -3.5745 1.4511 1.4278 -1.6944 -2.7608 7.4674 -1.8843 2.7487" Properties=species:S:1:pos:R:3 pbc="T T T"
S 5.4453 -3.2601 0.2778
V 7.5140 -3.5778 1.5426
V -0.0550 -3.5754 -0.1036
Dy 3.0161 -2.8871 -1.2074
Dy 4.4430 -4.2661 2.6464
S 2.0137 -3.8931 1.1612
```

***

(2)
Entry from the Alexandria database: an optimized crystal structure of Dy3V5S12 (PBE).

Properties
- E (eV per atom) = -6.6650
- SG = Ia-3d
- formation energy from raw total energies (eV per atom) = -1.219
- volume (Å³ per atom) = 20.73

extended XYZ file:
```
80
Lattice="12.9144 0.0000 0.0000 -4.3048 12.1758 0.0000 -4.3048 -6.0879 10.5445" Properties=species:S:1:pos:R:3 pbc="T T T"
S 2.2474 -2.1242 6.2164
V 4.3048 -3.0439 5.2723
V 3.2286 9.1318 2.6361
S 8.0909 0.6784 4.9478
V -2.1524 -3.0439 5.2723
Dy 1.0762 -0.7610 3.9542
Dy 9.6858 0.0000 2.6361
S 1.5530 1.6342 9.6023
V 1.0762 3.8049 9.2265
V 7.5334 -0.7610 6.5903
S -1.5530 0.0011 8.6582
S 3.7861 -1.5802 3.3859
S 8.5145 1.2775 0.3245
S 1.5530 -1.6331 9.6004
S 4.2097 2.1241 6.2164
S -0.5994 7.7221 0.9422
S 6.5522 3.4017 4.0036
S -3.2817 10.3553 1.2686
S -4.9042 -0.0011 8.6582
S 2.7518 4.4537 0.9422
Dy 7.5334 3.8049 1.3181
S 5.3278 -1.0351 6.2145
Dy -1.0762 5.3269 6.5903
V -2.1524 6.0879 0.0000
Dy 1.0762 6.0879 2.6361
S -2.2474 -4.8103 10.2200
S -5.3278 3.2324 7.4831
S 0.0951 3.9637 4.3281
V 2.1524 3.0439 5.2723
V 4.3048 6.0879 0.0000
V 6.4572 0.0000 0.0000
Dy 3.2286 0.0000 7.9084
Dy -3.2286 -2.2830 9.2265
S 8.7046 -2.6862 6.5409
V -1.0762 9.8928 1.3181
V 0.0000 0.0000 0.0000
S 4.9042 -1.6342 9.6023
S 2.7518 7.7210 0.9441
Dy 7.5334 8.3708 1.3181
V 3.2286 2.2830 1.3181
S -4.2097 4.8104 10.2200
S -2.2474 2.6862 6.5409
S -1.1293 -3.2324 7.4831
S 9.2090 6.0890 1.8864
V -4.3048 3.0439 5.2723
V 1.0762 -3.0439 7.9084
S 4.9042 1.6331 9.6004
S -2.6711 6.9896 8.3337
S 5.9385 6.7663 5.5968
S 1.6337 4.5077 7.1586
S -0.5187 0.9017 2.2108
V -1.0762 3.0439 2.6361
V -3.2286 6.8489 3.9542
V 5.3810 5.3269 3.9542
S -1.0231 7.1230 4.3300
S 5.8577 6.0868 1.8864
S 3.1755 5.0528 4.3300
V -1.0762 0.7610 6.5903
S 0.5187 7.6680 7.1586
S -3.7861 5.4095 5.5968
S 2.0573 8.2120 4.3281
S 5.4341 1.8204 1.2686
S -0.5994 4.4548 0.9441
Dy 3.2286 6.8489 6.5903
V 5.3810 -3.8049 9.2265
S 6.9759 -0.9017 2.2108
S -4.3998 8.7741 4.0036
S 5.4341 9.3203 3.0614
S 7.5865 -4.2675 9.2759
Dy 5.3810 0.7610 3.9542
S 4.8235 5.1861 8.3337
S 2.6711 1.5802 3.3859
V 5.3810 3.0439 7.9084
S -1.1293 4.2675 9.2759
S -1.6337 -0.6784 4.9478
S 6.5522 10.8982 0.3245
S 9.6326 2.8555 3.0614
Dy -5.3810 6.0879 7.9084
S 1.1293 1.0351 6.2145
Dy -3.2286 2.2830 9.2265
```